Compound: RePt8Rh6
Source: Alexandria via LeMat-Bulk
Functional: PBE-GGA
Structure: optimized geometry

a b c (Å): 6.774 6.774 6.774
angles (deg): 65.16 65.16 65.16
Fractional coordinates of all 15 atoms:
Re 0.000 0.000 0.000
Pt 0.142 0.401 0.840
Pt 0.160 0.858 0.599
Pt 0.255 0.255 0.255
Pt 0.401 0.840 0.142
Pt 0.599 0.160 0.858
Pt 0.745 0.745 0.745
Pt 0.840 0.142 0.401
Pt 0.858 0.599 0.160
Rh 0.075 0.667 0.367
Rh 0.333 0.633 0.925
Rh 0.367 0.075 0.667
Rh 0.633 0.925 0.333
Rh 0.667 0.367 0.075
Rh 0.925 0.333 0.633

ΔH_f (0 K): 328 kJ/mol of formula units
Spin magnetization: 0.00 μB per cell

Compound: BaIn2Rh2
Source: Alexandria via LeMat-Bulk
Functional: PBE-GGA
Structure: optimized geometry

a b c (Å): 4.746 4.746 10.923
angles (deg): 90.00 90.00 90.00
Fractional coordinates of all 10 atoms:
Ba 0.000 0.000 0.000
Ba 0.500 0.500 0.500
In 0.000 0.000 0.361
In 0.000 0.000 0.639
In 0.500 0.500 0.139
In 0.500 0.500 0.861
Rh 0.000 0.500 0.250
Rh 0.000 0.500 0.750
Rh 0.500 0.000 0.250
Rh 0.500 0.000 0.750

ΔH_f (0 K): -186 kJ/mol of formula units
Spin magnetization: 0.00 μB per cell

- The lowest ΔH_f (0 K) belongs to which entry?
  BaIn2Rh2